Record 1
K2ZnP2Se6 after structural relaxation, computed with PBE.

Its total energy is -3.822 eV/atom.

The structure belongs to space group P2_1/c (No. 14); the cell edges are 12.618, 7.362 and 14.475 Å and the angles 90.00°, 109.73° and 90.00°. The inequivalent atoms are K at (0.088, 0.040, 0.210), K at (0.396, 0.038, 0.124), Zn at (0.245, 0.581, 0.982), P at (0.024, 0.607, 0.060), P at (0.460, 0.039, 0.419), Se at (0.113, 0.683, 0.501), Se at (0.129, 0.004, 0.700), Se at (0.142, 0.216, 0.438), Se at (0.332, 0.680, 0.858), Se at (0.387, 0.191, 0.901) and Se at (0.399, 0.512, 0.141).



Record 2
K3SmP2 after structural relaxation, computed with PBE.

The calculation puts the magnetic moment at 0.001 μB/f.u. Its total energy is -3.769 eV/atom.

The structure belongs to space group Ibam (No. 72); the cell edges are 7.857, 15.077 and 7.293 Å and the angles 90.00°, 90.00° and 90.00°. The inequivalent atoms are K at (0.000, 0.000, 0.250), K at (0.201, 0.304, 0.000), Sm at (0.000, 0.500, 0.250) and P at (0.195, 0.401, 0.500).